Here is crystalline Li2CoNi at its relaxed geometry from Alexandria via LeMat-Bulk. Energies are from GGA-PBE.

CIF file:
```
data_Li2CoNi
_cell_length_a 8.698
_cell_length_b 8.698
_cell_length_c 8.698
_cell_angle_alpha 16.42
_cell_angle_beta 16.42
_cell_angle_gamma 16.42
_symmetry_space_group_name_H-M 'P 1'
_symmetry_Int_Tables_number 1
loop_
_symmetry_equiv_pos_as_xyz
'x,y,z'
loop_
_atom_site_label
_atom_site_fract_x
_atom_site_fract_y
_atom_site_fract_z
Ni1 0.250 0.250 0.250
Li1 0.998 0.998 0.998
Li2 0.502 0.502 0.502
Co1 0.750 0.750 0.750
```

- offset from the most stable computed form (meV/atom) = 0
- size of the total moment (μB/cell) = 1.3
- total energy (eV/atom) = -4.152
- space-group type = R-3m (166)
- ΔH_f (0 K) (eV per atom) = 0.0262

---

Here is crystalline CsTa3Te12Au4 at its relaxed geometry from Alexandria via LeMat-Bulk. Energies are from GGA-PBE.

CIF file:
```
data_CsTa3Te12Au4
_cell_length_a 9.739
_cell_length_b 9.739
_cell_length_c 9.739
_cell_angle_alpha 109.56
_cell_angle_beta 109.56
_cell_angle_gamma 109.56
_symmetry_space_group_name_H-M 'P 1'
_symmetry_Int_Tables_number 1
loop_
_symmetry_equiv_pos_as_xyz
'x,y,z'
loop_
_atom_site_label
_atom_site_fract_x
_atom_site_fract_y
_atom_site_fract_z
Au1 0.050 0.500 0.950
Au2 0.500 0.500 0.500
Au3 0.950 0.050 0.500
Au4 0.500 0.950 0.050
Te1 0.656 0.767 0.065
Te2 0.500 0.119 0.881
Te3 0.119 0.881 0.500
Te4 0.881 0.500 0.119
Te5 0.935 0.233 0.344
Te6 0.330 0.670 0.500
Te7 0.065 0.656 0.767
Te8 0.767 0.065 0.656
Te9 0.500 0.330 0.670
Te10 0.670 0.500 0.330
Te11 0.344 0.935 0.233
Te12 0.233 0.344 0.935
Ta1 0.545 0.455 0.000
Ta2 0.000 0.545 0.455
Ta3 0.455 0.000 0.545
Cs1 0.000 0.000 0.000
```

- size of the total moment (μB/cell) = 0.0
- total energy (eV/atom) = -4.449
- space-group type = R32 (155)
- formation energy (no corrections) (eV/atom) = -0.0880

---

What is the formula in the first record? Li2CoNi

---

size of the total moment of number 1 (Li2CoNi)? 1.3 μB/cell

---

Which formula does entry 2 have? CsTa3Te12Au4